No. 1
Here is crystalline Sr3AcPt8 at its relaxed geometry from Alexandria. Energies are from PBE.

Output
* space-group type: R3m
* raw total energy: -5.71 eV per atom
* mass density: 13.7 g/cm³

abc: 9.681 9.681 9.681
angles: 33.63 33.63 33.63
Sites, in units of the cell vectors:
Sr (0.000, 0.000, 0.000)
Sr (0.123, 0.123, 0.123)
Sr (0.628, 0.628, 0.628)
Ac (0.502, 0.502, 0.502)
Pt (0.064, 0.064, 0.561)
Pt (0.064, 0.561, 0.064)
Pt (0.065, 0.563, 0.563)
Pt (0.314, 0.314, 0.314)
Pt (0.561, 0.064, 0.064)
Pt (0.563, 0.065, 0.563)
Pt (0.563, 0.563, 0.065)
Pt (0.813, 0.813, 0.813)

***

No. 2
Here is crystalline Sr2Ac3Pt2 at its relaxed geometry from Alexandria. Energies are from PBE.

Output
* space-group type: C2/m
* raw total energy: -4.64 eV per atom
* mass density: 8.0 g/cm³

abc: 13.945 4.197 10.154
angles: 90.00 119.35 90.00
Sites, in units of the cell vectors:
Sr (0.178, 0.000, 0.304)
Sr (0.322, 0.500, 0.696)
Sr (0.678, 0.500, 0.304)
Sr (0.822, 0.000, 0.696)
Ac (0.000, 0.500, 0.500)
Ac (0.119, 0.500, 0.932)
Ac (0.381, 0.000, 0.068)
Ac (0.500, 0.000, 0.500)
Ac (0.619, 0.000, 0.932)
Ac (0.881, 0.500, 0.068)
Pt (0.166, 0.000, 0.753)
Pt (0.334, 0.500, 0.247)
Pt (0.666, 0.500, 0.753)
Pt (0.834, 0.000, 0.247)